Entry from Alexandria: a relaxed Ac2UAs3Rh4 crystal (PBE).

Cell and atoms, written as extended XYZ:
```
10
Lattice="4.308 0.000 0.000 0.000 4.308 0.000 0.000 0.000 11.220" Properties=species:S:1:pos:R:3 pbc="T T T"
Rh 0.000 2.154 3.958
As 0.000 2.154 1.404
Rh 2.154 0.000 7.262
Rh 0.000 0.000 0.000
U 2.154 2.154 5.610
Ac 0.000 2.154 8.649
As 2.154 0.000 9.816
Ac 2.154 0.000 2.571
Rh 2.154 2.154 0.000
As 0.000 0.000 5.610
```

Calculated values
- symmetry = No. 115
- calculated total energy (eV per atom) = -7.116
- crystal system = tetragonal
- ΔE_f (meV per atom) = -830
- spin magnetization (Bohr magnetons per cell) = 2.7

=====

Entry from Alexandria: a relaxed Ac2UAs3Rh12 crystal (PBE).

Cell and atoms, written as extended XYZ:
```
18
Lattice="7.848 -0.179 -0.127 3.720 6.913 -0.127 3.720 2.165 6.566" Properties=species:S:1:pos:R:3 pbc="T T T"
As 1.860 3.456 -0.063
Rh 7.466 4.346 5.816
Rh 5.875 1.060 0.752
As 3.924 -0.090 -0.063
Rh 11.465 6.674 2.233
Rh 9.413 7.839 5.560
Ac 6.014 3.501 2.483
Rh 3.823 4.585 0.752
Ac 9.274 5.398 3.829
Rh 11.465 4.313 5.560
As 1.860 1.083 3.283
Rh 5.579 5.827 4.133
Rh 7.822 1.973 4.133
Rh 9.709 3.072 2.179
Rh 7.822 4.553 0.496
Rh 3.823 2.225 4.079
Rh 7.466 6.926 2.179
U 0.000 0.000 0.000
```

Calculated values
- symmetry = No. 166
- calculated total energy (eV per atom) = -6.965
- crystal system = trigonal
- ΔE_f (meV per atom) = -206
- spin magnetization (Bohr magnetons per cell) = 0.0

=====

Entry from Alexandria: a relaxed AcUAs2Rh5 crystal (PBE).

Cell and atoms, written as extended XYZ:
```
9
Lattice="4.122 0.000 0.000 0.000 4.122 0.000 0.000 0.000 12.567" Properties=species:S:1:pos:R:3 pbc="T T T"
U 0.000 0.000 0.000
Rh 2.061 0.000 8.531
Rh 0.000 2.061 4.035
Ac 2.061 2.061 6.283
As 0.000 0.000 9.758
Rh 0.000 2.061 8.531
As 0.000 0.000 2.808
Rh 0.000 0.000 6.283
Rh 2.061 0.000 4.035
```

Calculated values
- symmetry = No. 123
- calculated total energy (eV per atom) = -6.773
- crystal system = tetragonal
- ΔE_f (meV per atom) = 55
- spin magnetization (Bohr magnetons per cell) = 3.5

=====

Entry from Alexandria: a relaxed Ac2YAs3Rh4 crystal (PBE).

Cell and atoms, written as extended XYZ:
```
10
Lattice="4.242 0.000 0.000 0.000 4.242 0.000 0.000 0.000 11.579" Properties=species:S:1:pos:R:3 pbc="T T T"
Rh 0.000 2.121 3.929
Y 2.121 2.121 5.789
As 2.121 0.000 10.158
Ac 2.121 0.000 2.684
Ac 0.000 2.121 8.895
As 0.000 0.000 5.789
As 0.000 2.121 1.421
Rh 2.121 0.000 7.649
Rh 2.121 2.121 0.000
Rh 0.000 0.000 0.000
```

Calculated values
- symmetry = No. 115
- calculated total energy (eV per atom) = -6.744
- crystal system = tetragonal
- ΔE_f (meV per atom) = -941
- spin magnetization (Bohr magnetons per cell) = 0.0